Computed, not measured: a relaxed structure of La6Pm8Pb at the PBE-GGA level of DFT.

Properties
Symmetry   No. 148
E_tot   -0.35019 Ry per atom
Total magnetization   0.0 μB per cell
Calculated density   6.99 g/cm³
D(E_F)   24.22 states/eV per cell
E_form   -1.2 kJ per mole of atoms

extended XYZ file:
```
15
Lattice="-6.898 6.138 0.052 -2.130 4.486 7.785 1.551 8.681 0.899" Properties=species:S:1:pos:R:3 pbc="T T T"
Pm -1.625 7.451 5.855
Pm -2.579 10.473 7.452
Pm -1.632 7.928 2.338
Pm -2.675 10.851 3.968
Pm -4.898 8.831 1.284
Pm -5.853 11.854 2.880
Pm -5.846 11.376 6.397
Pm -4.803 8.453 4.767
La -5.825 16.342 7.924
La -5.902 15.226 4.370
La -1.653 2.963 0.811
La -3.396 13.786 6.720
La -1.575 4.078 4.365
La -4.082 5.519 2.015
Pb 0.000 0.000 0.000
```